(1)
NbTe6Mo2: optimized geometry, PBE-GGA.

Lattice parameters (Å, degrees): 3.569 8.547 9.266 115.79 101.10 90.00
Sites, in units of the cell vectors:
Nb  0.500  0.000  0.000
Te  0.331  0.901  0.662
Te  0.006  0.256  0.011
Te  0.665  0.589  0.329
Te  0.994  0.744  0.989
Te  0.669  0.099  0.338
Te  0.335  0.411  0.671
Mo  0.821  0.640  0.641
Mo  0.179  0.360  0.359

Total energy, eV/atom: -5.87
Crystal system: monoclinic
ρ, kg/m³: 7016
Uncorrected formation energy, eV per atom: -0.2497


(2)
K2AlCl: optimized geometry, PBE-GGA.

Lattice parameters (Å, degrees): 8.964 8.964 7.512 53.37 53.37 90.00
Sites, in units of the cell vectors:
K  0.681  0.125  0.250
K  0.069  0.625  0.250
K  0.375  0.319  0.750
K  0.875  0.931  0.750
Al  0.500  0.500  0.000
Al  0.250  0.750  0.500
Cl  0.000  0.000  0.000
Cl  0.750  0.250  0.500

Total energy, eV/atom: -2.37
Crystal system: tetragonal
ρ, kg/m³: 1442
Uncorrected formation energy, eV per atom: -0.4217


(3)
Tl2TeI4F2: optimized geometry, PBE-GGA.

Lattice parameters (Å, degrees): 7.123 7.358 7.358 69.60 98.13 98.13
Sites, in units of the cell vectors:
Tl  0.381  0.656  0.656
Tl  0.619  0.344  0.344
Te  0.500  0.000  0.000
I  0.238  0.636  0.139
I  0.762  0.861  0.364
I  0.762  0.364  0.861
I  0.238  0.139  0.636
F  0.373  0.142  0.142
F  0.627  0.858  0.858

Total energy, eV/atom: -2.87
Crystal system: monoclinic
ρ, kg/m³: 5046
Uncorrected formation energy, eV per atom: -0.8856


(4)
Na2ZnAg2: optimized geometry, PBE-GGA.

Lattice parameters (Å, degrees): 3.857 3.857 8.851 77.42 77.42 90.00
Sites, in units of the cell vectors:
Na  0.396  0.396  0.208
Na  0.604  0.604  0.792
Zn  0.000  0.000  0.000
Ag  0.750  0.250  0.500
Ag  0.250  0.750  0.500

Total energy, eV/atom: -1.79
Crystal system: tetragonal
ρ, kg/m³: 4337


(5)
BaAs: optimized geometry, PBE-GGA.

Lattice parameters (Å, degrees): 19.511 4.697 4.863 90.00 90.00 90.00
Sites, in units of the cell vectors:
Ba  0.836  0.000  0.500
Ba  0.164  0.000  0.500
Ba  0.336  0.500  0.500
Ba  0.664  0.500  0.500
Ba  0.500  0.000  0.000
Ba  0.000  0.500  0.000
As  0.717  0.000  0.000
As  0.283  0.000  0.000
As  0.217  0.500  0.000
As  0.783  0.500  0.000
As  0.000  0.000  0.500
As  0.500  0.500  0.500

Total energy, eV/atom: -4.28
Crystal system: orthorhombic
ρ, kg/m³: 4745


(6)
SrNi2Hg: optimized geometry, PBE-GGA.

Lattice parameters (Å, degrees): 4.245 4.245 6.079 69.56 69.56 59.99
Each line ends with the local moment (μB).
Sites, in units of the cell vectors:
Hg  0.293  0.293  0.121  0.01
Ni  0.025  0.025  0.925  0.34
Ni  0.693  0.693  0.920  0.32
Sr  0.489  0.489  0.534  0.00

Total energy, eV/atom: -3.46
Crystal system: trigonal
ρ, kg/m³: 7758


(7)
Ta3PF: optimized geometry, PBE-GGA.

Lattice parameters (Å, degrees): 4.275 4.275 4.275 90.00 90.00 90.00
Sites, in units of the cell vectors:
P  0.500  0.500  0.500
F  0.000  0.000  0.000
Ta  0.000  0.500  0.000
Ta  0.000  0.000  0.500
Ta  0.500  0.000  0.000

Total energy, eV/atom: -8.25
Crystal system: cubic
ρ, kg/m³: 12601
Uncorrected formation energy, eV per atom: 0.3218


(8)
PmEuZnRu: optimized geometry, PBE-GGA.

Lattice parameters (Å, degrees): 5.046 5.046 5.046 60.00 60.00 60.00
Each line ends with the local moment (μB).
Sites, in units of the cell vectors:
Eu  0.500  0.500  0.500  6.77
Ru  0.750  0.750  0.750  -0.29
Zn  0.250  0.250  0.250  0.02
Pm  0.000  0.000  0.000  0.06

Total energy, eV/atom: -6.52
Crystal system: cubic
ρ, kg/m³: 8470


(9)
DyCu10Ag: optimized geometry, PBE-GGA.

Lattice parameters (Å, degrees): 4.095 4.942 8.558 90.00 90.00 90.00
Sites, in units of the cell vectors:
Dy  0.000  0.000  0.000
Cu  0.000  0.000  0.342
Cu  0.000  0.500  0.819
Cu  0.000  0.500  0.181
Cu  0.000  0.000  0.658
Cu  0.500  0.000  0.500
Cu  0.500  0.500  0.000
Cu  0.500  0.248  0.250
Cu  0.500  0.752  0.750
Cu  0.500  0.752  0.250
Cu  0.500  0.248  0.750
Ag  0.000  0.500  0.500

Total energy, eV/atom: -4.07
Crystal system: orthorhombic
ρ, kg/m³: 8684


(10)
NaBH3: optimized geometry, PBE-GGA.

Lattice parameters (Å, degrees): 3.231 3.231 3.231 90.00 90.00 90.00
Sites, in units of the cell vectors:
Na  0.500  0.500  0.500
B  0.000  0.000  0.000
H  0.000  0.500  0.000
H  0.000  0.000  0.500
H  0.500  0.000  0.000

Total energy, eV/atom: -3.29
Crystal system: cubic
ρ, kg/m³: 1813


(11)
Tb4TlInH: optimized geometry, PBE-GGA.

Lattice parameters (Å, degrees): 6.494 6.497 9.085 90.00 110.94 90.00
Sites, in units of the cell vectors:
Tb  0.929  0.250  0.858
Tb  0.427  0.750  0.855
Tb  0.071  0.750  0.142
Tb  0.573  0.250  0.145
Tb  0.500  0.500  0.500
Tb  0.000  0.000  0.500
Tb  0.500  0.000  0.500
Tb  0.000  0.500  0.500
Tl  0.114  0.250  0.227
Tl  0.886  0.750  0.773
In  0.615  0.750  0.229
In  0.385  0.250  0.771
H  0.291  0.750  0.581
H  0.709  0.250  0.419

Total energy, eV/atom: -4.21
Crystal system: orthorhombic
ρ, kg/m³: 8867


(12)
RbCd4Hg: optimized geometry, PBE-GGA.

Lattice parameters (Å, degrees): 6.300 6.300 6.300 60.00 60.00 60.00
Sites, in units of the cell vectors:
Hg  0.000  0.000  0.000
Rb  0.250  0.250  0.250
Cd  0.626  0.626  0.123
Cd  0.626  0.123  0.626
Cd  0.626  0.626  0.626
Cd  0.123  0.626  0.626

Total energy, eV/atom: -0.83
Crystal system: cubic
ρ, kg/m³: 6910


(13)
SiTe: optimized geometry, PBE-GGA.

Lattice parameters (Å, degrees): 9.402 9.402 9.402 90.00 90.00 90.00
Sites, in units of the cell vectors:
Si  0.128  0.128  0.128
Si  0.128  0.872  0.872
Si  0.872  0.128  0.872
Si  0.872  0.872  0.128
Si  0.628  0.628  0.628
Si  0.628  0.372  0.372
Si  0.372  0.628  0.372
Si  0.372  0.372  0.628
Te  0.342  0.342  0.342
Te  0.342  0.658  0.658
Te  0.658  0.342  0.658
Te  0.658  0.658  0.342
Te  0.842  0.842  0.842
Te  0.842  0.158  0.158
Te  0.158  0.842  0.158
Te  0.158  0.158  0.842

Total energy, eV/atom: -3.86
Crystal system: cubic
ρ, kg/m³: 2489
Uncorrected formation energy, eV per atom: 0.4235


(14)
SnBr2N2: optimized geometry, PBE-GGA.

Lattice parameters (Å, degrees): 7.842 7.842 3.663 90.00 90.00 90.00
Each line ends with the local moment (μB).
Sites, in units of the cell vectors:
Sn  0.000  0.000  0.000  -0.01
Sn  0.500  0.500  0.000  -0.01
Br  0.341  0.841  0.000  0.03
Br  0.841  0.659  0.000  0.03
Br  0.659  0.159  0.000  0.03
Br  0.159  0.341  0.000  0.03
N  0.260  0.760  0.500  0.20
N  0.760  0.740  0.500  0.20
N  0.740  0.240  0.500  0.20
N  0.240  0.260  0.500  0.20

Total energy, eV/atom: -3.25
Crystal system: tetragonal
ρ, kg/m³: 4520
Uncorrected formation energy, eV per atom: 1.5462


(15)
Cs4Rb5Hg: optimized geometry, PBE-GGA.

Lattice parameters (Å, degrees): 7.351 11.698 11.698 84.33 71.69 71.69
Sites, in units of the cell vectors:
Cs  0.820  0.679  0.679
Cs  0.499  0.321  0.679
Cs  0.499  0.679  0.321
Cs  0.178  0.321  0.321
Rb  0.165  0.668  0.000
Rb  0.165  0.000  0.668
Rb  0.833  0.000  0.332
Rb  0.833  0.332  0.000
Rb  0.499  0.000  0.000
Hg  0.999  0.000  0.000

Total energy, eV/atom: -0.90
Crystal system: tetragonal
ρ, kg/m³: 2124


(16)
NbAl: optimized geometry, PBE-GGA.

Lattice parameters (Å, degrees): 4.576 4.576 5.188 90.00 90.00 120.00
Sites, in units of the cell vectors:
Nb  0.333  0.667  0.750
Nb  0.667  0.333  0.250
Al  0.333  0.667  0.250
Al  0.667  0.333  0.750

Total energy, eV/atom: -6.01
Crystal system: hexagonal
ρ, kg/m³: 4232


(17)
Ac2LaPb: optimized geometry, PBE-GGA.

Lattice parameters (Å, degrees): 5.962 5.962 5.962 60.00 60.00 60.00
Sites, in units of the cell vectors:
Pb  0.500  0.500  0.500
Ac  0.250  0.250  0.250
Ac  0.750  0.750  0.750
La  0.000  0.000  0.000

Total energy, eV/atom: -4.30
Crystal system: cubic
ρ, kg/m³: 8868


(18)
LaTaSi2: optimized geometry, PBE-GGA.

Lattice parameters (Å, degrees): 6.908 6.908 6.908 33.23 33.23 33.23
Sites, in units of the cell vectors:
La  0.250  0.250  0.250
Si  0.017  0.017  0.017
Si  0.483  0.483  0.483
Ta  0.750  0.750  0.750

Total energy, eV/atom: -7.26
Crystal system: trigonal
ρ, kg/m³: 7085
Uncorrected formation energy, eV per atom: -0.3487


(19)
DyZrRu2: optimized geometry, PBE-GGA.

Lattice parameters (Å, degrees): 3.323 3.323 6.732 90.00 90.00 90.00
Sites, in units of the cell vectors:
Ru  0.000  0.000  0.767
Ru  0.000  0.000  0.233
Zr  0.500  0.500  0.000
Dy  0.500  0.500  0.500

Total energy, eV/atom: -8.45
Crystal system: tetragonal
ρ, kg/m³: 10180


(20)
MgP2PtS: optimized geometry, PBE-GGA.

Lattice parameters (Å, degrees): 4.676 4.824 4.676 90.00 90.00 90.00
Sites, in units of the cell vectors:
P  0.000  0.000  0.500
P  0.500  0.000  0.000
S  0.500  0.500  0.500
Mg  0.000  0.000  0.000
Pt  0.000  0.500  0.000

Total energy, eV/atom: -3.25
Crystal system: tetragonal
ρ, kg/m³: 4934
Uncorrected formation energy, eV per atom: 1.2623


(21)
RbSb2Au: optimized geometry, PBE-GGA.

Lattice parameters (Å, degrees): 4.341 6.784 5.025 107.51 90.00 90.00
Sites, in units of the cell vectors:
Rb  0.500  0.500  0.000
Sb  0.000  0.144  0.276
Sb  0.000  0.856  0.724
Au  0.500  0.000  0.500

Total energy, eV/atom: -3.44
Crystal system: monoclinic
ρ, kg/m³: 6188
Uncorrected formation energy, eV per atom: -0.3208


(22)
La2Tb5Er4: optimized geometry, PBE-GGA.

Lattice parameters (Å, degrees): 3.558 11.611 8.898 97.10 99.38 85.76
Sites, in units of the cell vectors:
La  0.690  0.346  0.450
La  0.310  0.654  0.550
Tb  0.707  0.472  0.832
Tb  0.293  0.528  0.168
Tb  0.823  0.936  0.645
Tb  0.500  0.000  0.000
Tb  0.177  0.064  0.355
Er  0.294  0.203  0.734
Er  0.070  0.740  0.925
Er  0.706  0.797  0.266
Er  0.930  0.260  0.075

Total energy, eV/atom: -4.61
Crystal system: triclinic
ρ, kg/m³: 8046


(23)
LiV2InB: optimized geometry, PBE-GGA.

Lattice parameters (Å, degrees): 5.065 4.617 5.065 90.00 90.00 90.00
Each line ends with the local moment (μB).
Sites, in units of the cell vectors:
B  0.500  0.500  0.500  0.06
V  0.000  0.000  0.500  2.65
V  0.500  0.000  0.000  2.47
Li  0.000  0.500  0.000  -0.05
In  0.000  0.000  0.000  -0.01

Total energy, eV/atom: -3.86
Crystal system: tetragonal
ρ, kg/m³: 3286


(24)
La2PmTh: optimized geometry, PBE-GGA.

Lattice parameters (Å, degrees): 5.838 5.838 5.838 60.00 60.00 60.00
Each line ends with the local moment (μB).
Sites, in units of the cell vectors:
La  0.250  0.250  0.250  -0.08
La  0.750  0.750  0.750  -0.08
Th  0.000  0.000  0.000  -0.13
Pm  0.500  0.500  0.500  -0.07

Total energy, eV/atom: -5.30
Crystal system: cubic
ρ, kg/m³: 7729


(25)
Mn2AlW: optimized geometry, PBE-GGA.

Lattice parameters (Å, degrees): 8.928 8.928 8.928 17.52 17.52 17.52
Each line ends with the local moment (μB).
Sites, in units of the cell vectors:
Mn  0.003  0.003  0.003  2.33
Mn  0.497  0.497  0.497  2.33
Al  0.750  0.750  0.750  -0.04
W  0.250  0.250  0.250  -0.14

Total energy, eV/atom: -8.58
Crystal system: trigonal
ρ, kg/m³: 9461